First-principles (PBE) data for an optimized crystal structure of ZnCdGe2S6, as listed in the Alexandria database.

Its density is 3.60 g/cm³. The volume is 23.755 A^3/atom. The formation energy from raw total energies is -3.85 eV/f.u.

a b c (Å): 8.854 8.854 6.661
angles (deg): 107.44 107.44 86.20
Positions (direct):
Zn  0.205  0.795  0.750
Zn  0.795  0.205  0.250
Cd  0.175  0.825  0.250
Cd  0.825  0.175  0.750
Ge  0.215  0.374  0.273
Ge  0.374  0.215  0.773
Ge  0.626  0.785  0.227
Ge  0.785  0.626  0.727
S  0.032  0.180  0.126
S  0.112  0.611  0.403
S  0.180  0.032  0.626
S  0.309  0.428  0.018
S  0.389  0.888  0.097
S  0.428  0.309  0.518
S  0.572  0.691  0.482
S  0.611  0.112  0.903
S  0.691  0.572  0.982
S  0.820  0.968  0.374
S  0.888  0.389  0.597
S  0.968  0.820  0.874

***

First-principles (PBE) data for an optimized crystal structure of SbOsW2, as listed in the Alexandria database.

Its density is 16.79 g/cm³. The volume is 16.801 A^3/atom. The formation energy from raw total energies is 2.56 eV/f.u.

a b c (Å): 3.855 3.855 4.522
angles (deg): 90.00 90.00 90.00
Positions (direct):
Sb  0.000  0.000  0.000
Os  0.500  0.500  0.000
W  0.000  0.500  0.500
W  0.500  0.000  0.500

***

First-principles (PBE) data for an optimized crystal structure of NpCrN, as listed in the Alexandria database.

Its density is 9.30 g/cm³. The value obtained for the energy above the most stable polymorph in this dataset is 644.3 meV per atom. The volume is 18.028 A^3/atom. The formation energy from raw total energies is 0.62 eV/f.u.

a b c (Å): 5.644 5.644 5.644
angles (deg): 146.67 146.67 47.86
Positions (direct):
Np  0.000  0.000  0.000
Cr  0.297  0.297  0.000
N  0.501  0.501  0.000

***

M_tot in μB per atom, matching the order above: 0.0000 0.0000 0.3654